Compound: HRh2W
Source: Alexandria via LeMat-Bulk
Functional: PBE
Structure: relaxed

Excess energy over the best structure of this formula in the dataset, eV per atom: 0.000
Symmetry: R-3m
Total energy, eV per atom: -7.82
ρ, g/cm3: 13.9

Cell lengths 2.791, 2.791, 7.095 Å; angles 78.66, 78.66, 60.00 degrees
Fractional positions:
1 Rh 0.727 0.727 0.820
2 Rh 0.273 0.273 0.180
3 H 0.000 0.000 0.000
4 W 0.500 0.500 0.500